Compound: Li4PmV3O12
Source: the Alexandria database
Functional: GGA+U
Structure: optimized geometry

Properties
energy: -253.7 eV/cell

Cell: 7.4010 7.4010 7.4010 Å, 90.00 90.00 90.00°
With the nearest neighbours (Å) after each atom.
Space group Im-3 (No. 204)
Inequivalent atoms, fractional coordinates:
Li 0.2500 0.2500 0.2500  6 O 2.02
Pm 0.0000 0.0000 0.0000  12 O 2.67
V 0.0000 0.0000 0.5000  4 O 1.81
O 0.0000 0.3203 0.1661  1 V 1.81, 2 Li 2.02